(1)
LuThCuSi | PBE | relaxed

uncorrected formation energy: -330.7 meV/atom

```
data_LuThCuSi
_cell_length_a 7.025
_cell_length_b 7.025
_cell_length_c 7.025
_cell_angle_alpha 90.00
_cell_angle_beta 90.00
_cell_angle_gamma 90.00
_space_group_name_H-M_alt 'F -4 3 m'
_space_group_IT_number 216
_space_group_name_Hall 'F -4 2 3'
loop_
_atom_site_label
_atom_site_fract_x
_atom_site_fract_y
_atom_site_fract_z
Lu1 0.000 0.000 0.000
Th1 0.000 0.000 0.500
Cu1 0.250 0.250 0.250
Si1 0.250 0.250 0.750
```

(2)
La2BeIr2 | PBE | relaxed

polymorph energy (0 for the lowest one): 0.00 kJ per mole of atoms
formation energy: -0.619 eV per atom

```
data_La2BeIr2
_cell_length_a 10.277
_cell_length_b 5.661
_cell_length_c 7.440
_cell_angle_alpha 90.00
_cell_angle_beta 102.68
_cell_angle_gamma 90.00
_space_group_name_H-M_alt 'C 1 2/c 1'
_space_group_IT_number 15
loop_
_space_group_symop_operation_xyz
'x,y,z'
'-x,-y,-z'
'-x,y,-z+1/2'
'x,-y,z+1/2'
'x+1/2,y+1/2,z'
'-x+1/2,-y+1/2,-z'
'-x+1/2,y+1/2,-z+1/2'
'x+1/2,-y+1/2,z+1/2'
loop_
_atom_site_label
_atom_site_fract_x
_atom_site_fract_y
_atom_site_fract_z
La1 0.148 0.135 0.149
Be1 0.000 0.415 0.750
Ir1 0.125 0.373 0.512
```

(3)
Er2Mg3Tl3 | PBE | relaxed

formation energy: -0.215 eV per atom

```
data_Er2Mg3Tl3
_cell_length_a 4.836
_cell_length_b 4.925
_cell_length_c 8.374
_cell_angle_alpha 90.00
_cell_angle_beta 90.00
_cell_angle_gamma 90.00
_space_group_name_H-M_alt 'P m m m'
_space_group_IT_number 47
loop_
_space_group_symop_operation_xyz
'x,y,z'
'-x,-y,-z'
'-x,-y,z'
'x,y,-z'
'x,-y,-z'
'-x,y,z'
'-x,y,-z'
'x,-y,z'
loop_
_atom_site_label
_atom_site_fract_x
_atom_site_fract_y
_atom_site_fract_z
Er1 0.000 0.000 0.247
Mg1 0.000 0.500 0.500
Mg2 0.500 0.500 0.251
Tl1 0.000 0.500 0.000
Tl2 0.500 0.000 0.000
Tl3 0.500 0.000 0.500
```

(4)
Zr2InTe6 | PBE | relaxed

uncorrected formation energy: -480.0 meV/atom

```
data_Zr2InTe6
_cell_length_a 6.997
_cell_length_b 6.997
_cell_length_c 12.632
_cell_angle_alpha 90.00
_cell_angle_beta 90.00
_cell_angle_gamma 90.00
_space_group_name_H-M_alt 'P 42/m n m'
_space_group_IT_number 136
_space_group_name_Hall '-P 4n 2n'
loop_
_atom_site_label
_atom_site_fract_x
_atom_site_fract_y
_atom_site_fract_z
Zr1 0.000 0.000 0.158
In1 0.000 0.000 0.500
Te1 0.201 0.201 0.000
Te2 0.203 0.203 0.323
```

(5)
ReTcSeBr2 | PBE | relaxed

uncorrected formation energy: 1285.0 meV/atom
polymorph energy (0 for the lowest one): 9.26 kJ per mole of atoms

```
data_ReTcSeBr2
_cell_length_a 5.097
_cell_length_b 5.097
_cell_length_c 5.027
_cell_angle_alpha 90.00
_cell_angle_beta 90.00
_cell_angle_gamma 90.00
_space_group_name_H-M_alt 'P 4/m m m'
_space_group_IT_number 123
_space_group_name_Hall '-P 4 2'
loop_
_atom_site_label
_atom_site_fract_x
_atom_site_fract_y
_atom_site_fract_z
Re1 0.000 0.000 0.000
Tc1 0.500 0.500 0.500
Se1 0.500 0.500 0.000
Br1 0.000 0.500 0.500
```

(6)
Sr5AcCd4 | PBE | relaxed

formation energy: -0.239 eV per atom

```
data_Sr5AcCd4
_cell_length_a 4.021
_cell_length_b 4.021
_cell_length_c 22.439
_cell_angle_alpha 90.00
_cell_angle_beta 90.00
_cell_angle_gamma 90.00
_space_group_name_H-M_alt 'P 4/m m m'
_space_group_IT_number 123
_space_group_name_Hall '-P 4 2'
loop_
_atom_site_label
_atom_site_fract_x
_atom_site_fract_y
_atom_site_fract_z
Sr1 0.000 0.000 0.000
Sr2 0.000 0.000 0.183
Sr3 0.000 0.000 0.365
Ac1 0.500 0.500 0.500
Cd1 0.500 0.500 0.091
Cd2 0.500 0.500 0.276
```

(7)
In2CuP2 | PBE | relaxed

polymorph energy (0 for the lowest one): 0.00 kJ per mole of atoms
formation energy: 0.216 eV per atom

```
data_In2CuP2
_cell_length_a 5.431
_cell_length_b 5.431
_cell_length_c 6.910
_cell_angle_alpha 90.00
_cell_angle_beta 90.00
_cell_angle_gamma 90.00
_space_group_name_H-M_alt 'I 4/m m m'
_space_group_IT_number 139
_space_group_name_Hall '-I 4 2'
loop_
_atom_site_label
_atom_site_fract_x
_atom_site_fract_y
_atom_site_fract_z
In1 0.000 0.500 0.250
Cu1 0.000 0.000 0.000
P1 0.000 0.000 0.334
```

(8)
NbTcRu3 | PBE | relaxed

polymorph energy (0 for the lowest one): 135.44 kJ per mole of atoms
formation energy: 1.522 eV per atom

```
data_NbTcRu3
_cell_length_a 4.573
_cell_length_b 4.573
_cell_length_c 4.573
_cell_angle_alpha 90.00
_cell_angle_beta 90.00
_cell_angle_gamma 90.00
_space_group_name_H-M_alt 'P m -3 m'
_space_group_IT_number 221
_space_group_name_Hall '-P 4 2 3'
loop_
_atom_site_label
_atom_site_fract_x
_atom_site_fract_y
_atom_site_fract_z
Nb1 0.000 0.000 0.000
Tc1 0.500 0.500 0.500
Ru1 0.000 0.500 0.500
```

> Which formula does entry 1 have?

LuThCuSi

> Which formula does entry 8 have?

NbTcRu3